(1)
DFT (GGA-PBE) results for a relaxed structure of NbV4Re3.

Output
Raw total energy (eV/cell): -86.17

POSCAR file:
```
NbV4Re3
1.0
3.0526 0.0000 0.0000
0.0000 3.0526 0.0000
0.0000 0.0000 12.4342
Nb V Re
1 4 3
Direct
0.0000 0.0000 0.0000
0.5000 0.5000 0.1352
0.5000 0.5000 0.3784
0.5000 0.5000 0.6216
0.5000 0.5000 0.8648
0.0000 0.0000 0.2547
0.0000 0.0000 0.5000
0.0000 0.0000 0.7453
```

***

(2)
DFT (GGA-PBE) results for a relaxed structure of NbVRe2.

Output
Raw total energy (eV/cell): -83.25

POSCAR file:
```
NbVRe2
1.0
2.8936 0.0000 0.0000
0.0000 4.3195 0.0000
0.0000 0.0000 10.5972
Nb V Re
2 2 4
Direct
0.0000 0.0000 0.0000
0.5000 0.5000 0.5000
0.0000 0.0000 0.5000
0.5000 0.5000 0.0000
0.0000 0.0000 0.2805
0.0000 0.0000 0.7195
0.5000 0.5000 0.2195
0.5000 0.5000 0.7805
```

***

(3)
DFT (GGA-PBE) results for a relaxed structure of NbV4Re.

Output
Raw total energy (eV/cell): -59.71

POSCAR file:
```
NbV4Re
1.0
2.7192 0.0000 0.0000
0.0000 4.2766 0.0000
-0.0327 0.0000 7.4726
Nb V Re
1 4 1
Direct
0.0000 0.0000 0.0000
0.3240 0.5000 0.8243
0.3343 0.0000 0.3415
0.6657 0.0000 0.6585
0.6760 0.5000 0.1757
0.0000 0.5000 0.5000
```

***

(4)
DFT (GGA-PBE) results for a relaxed structure of Nb2VRe.

Output
Raw total energy (eV/cell): -42.45

POSCAR file:
```
Nb2VRe
1.0
4.5034 0.0000 0.0000
0.0000 4.5034 0.0000
0.0000 0.0000 3.1940
Nb V Re
2 1 1
Direct
0.0000 0.5000 0.0000
0.5000 0.0000 0.0000
0.0000 0.0000 0.5000
0.5000 0.5000 0.5000
```